A plane-wave DFT calculation with PBE with a Hubbard U was carried out for a geometry-optimized NaCaCr2F8 structure.

## Properties
**Total DFT energy (no corrections)**: -5.5652 eV/atom
**DOS at the Fermi energy**: 0.32 states/eV per atom
**Calculated density**: 3.649 g/cm3
**SG**: I-4m2, No. 119

Cell: 5.266 5.266 6.425 Å, 114.20 114.20 90.00°
Element x y z (fractional)
F (0.372, 0.851, 0.249)
F (0.372, 0.398, 0.248)
F (0.876, 0.851, 0.248)
F (0.149, 0.123, 0.751)
F (0.877, 0.398, 0.249)
F (0.602, 0.124, 0.752)
F (0.149, 0.628, 0.752)
F (0.602, 0.628, 0.751)
Cr (0.250, 0.750, 0.500)
Cr (0.500, 0.500, 0.000)
Ca (0.000, 0.000, 0.000)
Na (0.750, 0.250, 0.500)